Cs2TlAsS4 | GGA-PBE | relaxed

Geometry as CIF:
```
data_Cs2TlAsS4
_cell_length_a 6.434
_cell_length_b 14.812
_cell_length_c 24.589
_cell_angle_alpha 90.00
_cell_angle_beta 90.00
_cell_angle_gamma 90.00
_symmetry_space_group_name_H-M 'F d d d'
_symmetry_Int_Tables_number 70
loop_
_symmetry_equiv_pos_as_xyz
'x,y,z'
'-x,-y,-z'
'-x+1/4,-y+1/4,z'
'x+1/4,y+1/4,-z'
'x,-y+1/4,-z+1/4'
'-x,y+1/4,z+1/4'
'-x+1/4,y,-z+1/4'
'x+1/4,-y,z+1/4'
'x,y+1/2,z+1/2'
'-x,-y+1/2,-z+1/2'
'-x+1/4,-y+3/4,z+1/2'
'x+1/4,y+3/4,-z+1/2'
'x,-y+3/4,-z+3/4'
'-x,y+3/4,z+3/4'
'-x+1/4,y+1/2,-z+3/4'
'x+1/4,-y+1/2,z+3/4'
'x+1/2,y,z+1/2'
'-x+1/2,-y,-z+1/2'
'-x+3/4,-y+1/4,z+1/2'
'x+3/4,y+1/4,-z+1/2'
'x+1/2,-y+1/4,-z+3/4'
'-x+1/2,y+1/4,z+3/4'
'-x+3/4,y,-z+3/4'
'x+3/4,-y,z+3/4'
'x+1/2,y+1/2,z'
'-x+1/2,-y+1/2,-z'
'-x+3/4,-y+3/4,z'
'x+3/4,y+3/4,-z'
'x+1/2,-y+3/4,-z+1/4'
'-x+1/2,y+3/4,z+1/4'
'-x+3/4,y+1/2,-z+1/4'
'x+3/4,-y+1/2,z+1/4'
loop_
_atom_site_label
_atom_site_fract_x
_atom_site_fract_y
_atom_site_fract_z
_atom_site_occupancy
Cs1 0.125 0.125 0.304 1
Tl1 0.125 0.125 0.125 1
As1 0.125 0.125 0.625 1
S1 0.117 0.277 0.822 1
```

Values from the calculation:
uncorrected formation energy	-0.527	eV per atom
crystal system	orthorhombic